Entry 1:
This record from Alexandria describes a geometry-optimized Ba2CdSbAu6 structure. The functional is PBE-GGA.

The structure in POSCAR format:
```
Ba2CdSbAu6
1.0
0.000 5.315 5.315
5.315 0.000 5.315
5.315 5.315 0.000
Ba Cd Sb Au
2 1 1 6
direct
0.250 0.250 0.250
0.750 0.750 0.750
0.000 0.000 0.000
0.500 0.500 0.500
0.249 0.249 0.751
0.249 0.751 0.249
0.249 0.751 0.751
0.751 0.249 0.249
0.751 0.249 0.751
0.751 0.751 0.249
```

Output
Uncorrected formation energy   -0.317 eV per atom
Space-group type   No. 225

Entry 2:
This record from Alexandria describes a geometry-optimized Ba2ScCdAu6 structure. The functional is PBE-GGA.

The structure in POSCAR format:
```
Ba2ScCdAu6
1.0
0.000 5.338 5.338
5.338 0.000 5.338
5.338 5.338 0.000
Ba Sc Cd Au
2 1 1 6
direct
0.250 0.250 0.250
0.750 0.750 0.750
0.000 0.000 0.000
0.500 0.500 0.500
0.247 0.247 0.753
0.247 0.753 0.247
0.247 0.753 0.753
0.753 0.247 0.247
0.753 0.247 0.753
0.753 0.753 0.247
```

Output
Formation energy   -375 meV per atom
Space-group type   No. 225

Entry 3:
This record from Alexandria describes a geometry-optimized Ba2Cd2SiAu4 structure. The functional is PBE-GGA.

The structure in POSCAR format:
```
Ba2Cd2SiAu4
1.0
-3.609 3.609 4.480
3.609 -3.609 4.480
3.609 3.609 -4.480
Ba Cd Si Au
2 2 1 4
direct
0.250 0.750 0.500
0.750 0.250 0.500
0.169 0.169 0.000
0.831 0.831 0.000
0.500 0.500 0.000
0.253 0.253 0.506
0.253 0.747 0.000
0.747 0.253 0.000
0.747 0.747 0.494
```

Output
Uncorrected formation energy   -0.424 eV per atom
Space-group type   No. 139

Entry 4:
This record from Alexandria describes a geometry-optimized Ba2CdSi3Au12 structure. The functional is PBE-GGA.

The structure in POSCAR format:
```
Ba2CdSi3Au12
1.0
4.462 2.576 6.679
-4.462 2.576 6.679
0.000 -5.153 6.679
Ba Cd Si Au
2 1 3 12
direct
0.109 0.109 0.109
0.891 0.891 0.891
0.500 0.500 0.500
0.000 0.500 0.500
0.500 0.000 0.500
0.500 0.500 0.000
0.124 0.621 0.621
0.179 0.179 0.627
0.179 0.627 0.179
0.373 0.821 0.821
0.379 0.379 0.876
0.379 0.876 0.379
0.621 0.124 0.621
0.621 0.621 0.124
0.627 0.179 0.179
0.821 0.373 0.821
0.821 0.821 0.373
0.876 0.379 0.379
```

Output
Uncorrected formation energy   -0.116 eV per atom
Space-group type   No. 166

Entry 5:
This record from Alexandria describes a geometry-optimized Ba2CdSi3Au4 structure. The functional is PBE-GGA.

The structure in POSCAR format:
```
Ba2CdSi3Au4
1.0
4.644 0.000 0.000
0.000 4.644 0.000
0.000 0.000 10.628
Ba Cd Si Au
2 1 3 4
direct
0.000 0.500 0.245
0.500 0.000 0.755
0.000 0.000 0.500
0.000 0.500 0.882
0.500 0.000 0.118
0.500 0.500 0.500
0.000 0.000 0.000
0.000 0.500 0.643
0.500 0.000 0.357
0.500 0.500 0.000
```

Output
Uncorrected formation energy   -0.431 eV per atom
Space-group type   No. 115

Entry 6:
This record from Alexandria describes a geometry-optimized Ba2CdSiAu6 structure. The functional is PBE-GGA.

The structure in POSCAR format:
```
Ba2CdSiAu6
1.0
6.761 0.000 0.000
3.370 5.913 0.000
3.379 1.987 6.453
Ba Cd Si Au
2 1 1 6
direct
0.219 0.216 0.345
0.781 0.784 0.655
0.500 0.500 0.500
0.000 0.000 0.000
0.240 0.246 0.842
0.243 0.680 0.835
0.329 0.753 0.157
0.671 0.247 0.843
0.757 0.320 0.165
0.760 0.754 0.158
```

Output
Uncorrected formation energy   -0.475 eV per atom
Space-group type   No. 2

Entry 7:
This record from Alexandria describes a geometry-optimized BaCdSiAu2 structure. The functional is PBE-GGA.

The structure in POSCAR format:
```
BaCdSiAu2
1.0
5.053 0.000 0.000
0.000 5.053 0.000
0.000 0.000 5.131
Ba Cd Si Au
1 1 1 2
direct
0.000 0.000 0.000
0.500 0.500 0.000
0.500 0.500 0.500
0.000 0.500 0.500
0.500 0.000 0.500
```

Output
Uncorrected formation energy   -0.295 eV per atom
Space-group type   No. 123

Entry 8:
This record from Alexandria describes a geometry-optimized Ba2SmCd12Au3 structure. The functional is PBE-GGA.

The structure in POSCAR format:
```
Ba2SmCd12Au3
1.0
4.259 2.459 8.964
-4.259 2.459 8.964
0.000 -4.918 8.964
Ba Sm Cd Au
2 1 12 3
direct
0.115 0.115 0.115
0.885 0.885 0.885
0.500 0.500 0.500
0.012 0.654 0.654
0.272 0.272 0.642
0.272 0.642 0.272
0.346 0.346 0.988
0.346 0.988 0.346
0.358 0.728 0.728
0.642 0.272 0.272
0.654 0.012 0.654
0.654 0.654 0.012
0.728 0.358 0.728
0.728 0.728 0.358
0.988 0.346 0.346
0.000 0.500 0.500
0.500 0.000 0.500
0.500 0.500 0.000
```

Output
Formation energy   -52 meV per atom
Space-group type   No. 166

no.,magnetic moment (μB per formula unit)
1,0.00
2,0.00
3,0.00
4,0.00
5,0.00
6,0.00
7,0.00
8,0.00